# 1
This record from the Alexandria database describes a crystal of Be2CdMo relaxed with PBEsol. The functional is meta-GGA SCAN.

The value obtained for the calculated formation energy is 547 meV/atom. As for the density of states at the Fermi level: 0.45 states/eV per atom. As for the space-group type: Immm.

Lattice parameters (Å, degrees): 2.7936 4.6960 4.9809 118.13 106.29 90.00
Fractional coordinates of all 4 atoms:
Be  0.7480  0.7480  0.4961
Be  0.2520  0.2520  0.5039
Mo  0.0000  0.5000  0.0000
Cd  0.5000  0.0000  0.0000

# 2
This record from the Alexandria database describes a crystal of La2ZnNi relaxed with PBEsol. The functional is meta-GGA SCAN.

The value obtained for the calculated formation energy is -273 meV/atom. As for the density of states at the Fermi level: 0.84 states/eV per atom. As for the space-group type: P2/m.

Lattice parameters (Å, degrees): 3.5831 3.5828 7.1823 89.86 90.00 90.00
Fractional coordinates of all 4 atoms:
Ni  0.5000  0.5000  0.5000
Zn  0.5000  0.5000  0.0000
La  0.0000  0.0010  0.7289
La  0.0000  0.9990  0.2711

# 3
This record from the Alexandria database describes a crystal of SrMo2Pt relaxed with PBEsol. The functional is meta-GGA SCAN.

The value obtained for the calculated formation energy is 589 meV/atom. The value obtained for the energy above the most stable polymorph in this dataset is 215 meV per atom. As for the density of states at the Fermi level: 0.71 states/eV per atom. As for the space-group type: P4/mmm.

Lattice parameters (Å, degrees): 2.7436 2.7436 9.5664 90.00 90.00 90.04
Fractional coordinates of all 4 atoms:
Mo  0.0000  0.0000  0.2895
Mo  0.0000  0.0000  0.7105
Pt  0.5000  0.5000  0.5000
Sr  0.5000  0.5000  0.0000

# 4
This record from the Alexandria database describes a crystal of Na6MnNi3Sb2O12 relaxed with PBEsol. The functional is meta-GGA SCAN.

The uncorrected formation energy comes out at -4079 kJ/mol of formula units. As for the space-group type: P2.

Lattice parameters (Å, degrees): 5.3374 5.6139 9.2493 90.00 90.00 108.34
Site moments in Bohr magnetons follow the coordinates.
Fractional coordinates of all 24 atoms:
Na  0.5000  0.5000  0.0035  0.00
Na  0.0000  0.5000  0.1755  0.00
Na  0.0000  0.5000  0.8274  0.00
Na  0.0000  0.5000  0.4961  0.00
Na  0.5000  0.5000  0.6762  0.00
Na  0.5000  0.5000  0.3233  0.00
Mn  0.0000  0.0000  0.6661  4.52
Ni  0.5000  0.0000  0.8343  1.67
Ni  0.5000  0.0000  0.1661  1.66
Ni  0.0000  0.0000  0.3334  1.66
Sb  0.0000  0.0000  0.0030  -0.01
Sb  0.5000  0.0000  0.4966  0.00
O  0.7685  0.7913  0.8460  0.09
O  0.7450  0.2018  0.0002  0.10
O  0.2550  0.7982  0.0002  0.10
O  0.7724  0.7978  0.1633  0.10
O  0.2315  0.2087  0.8460  0.09
O  0.2276  0.2022  0.1633  0.10
O  0.2691  0.7987  0.3370  0.10
O  0.2545  0.2095  0.4949  0.09
O  0.7455  0.7905  0.4949  0.09
O  0.2778  0.7924  0.6579  0.08
O  0.7309  0.2013  0.3370  0.10
O  0.7222  0.2076  0.6579  0.08

# 5
This record from the Alexandria database describes a crystal of In2Sb2H16C4S7N2 relaxed with PBEsol. The functional is meta-GGA SCAN.

For the final energy, the calculation gives -10.106 eV/atom. As for the density of states at the Fermi level: 0.00 states/eV per atom. As for the space-group type: C2/c.

Lattice parameters (Å, degrees): 6.9482 10.3069 14.3012 84.61 75.94 70.30
Fractional coordinates of all 66 atoms:
C  0.9045  0.3997  0.2072
C  0.5114  0.1003  0.2928
C  0.0955  0.6003  0.7928
C  0.4886  0.8997  0.7072
C  0.5910  0.4026  0.1545
C  0.1481  0.0974  0.3455
C  0.4090  0.5974  0.8455
C  0.8519  0.9026  0.6545
H  0.6789  0.5715  0.1662
H  0.4166  0.9285  0.3338
H  0.3211  0.4285  0.8338
H  0.5834  0.0715  0.6662
H  0.8338  0.4637  0.0737
H  0.3712  0.0363  0.4263
H  0.1662  0.5363  0.9263
H  0.6288  0.9637  0.5737
H  0.0129  0.4585  0.2014
H  0.6728  0.0415  0.2986
H  0.9871  0.5415  0.7986
H  0.3272  0.9585  0.7014
H  0.9911  0.2938  0.1815
H  0.4664  0.2062  0.3185
H  0.0089  0.7062  0.8185
H  0.5336  0.7938  0.6815
H  0.8161  0.3978  0.2823
H  0.4961  0.1022  0.2177
H  0.1839  0.6022  0.7177
H  0.5039  0.8978  0.7823
H  0.4895  0.4545  0.1045
H  0.0485  0.0455  0.3955
H  0.5105  0.5455  0.8955
H  0.9515  0.9545  0.6045
H  0.4972  0.4130  0.2293
H  0.1395  0.0870  0.2707
H  0.5028  0.5870  0.7707
H  0.8605  0.9130  0.7293
H  0.6681  0.2936  0.1347
H  0.0964  0.2064  0.3653
H  0.3319  0.7064  0.8653
H  0.9036  0.7936  0.6347
N  0.7542  0.4675  0.1459
N  0.3677  0.0325  0.3541
N  0.2458  0.5325  0.8541
N  0.6323  0.9675  0.6459
S  0.5706  0.2500  0.7500
S  0.4294  0.7500  0.2500
S  0.9541  0.9500  0.8897
S  0.7938  0.5500  0.6103
S  0.0459  0.0500  0.1103
S  0.2062  0.4500  0.3897
S  0.0543  0.6775  0.0738
S  0.8055  0.8225  0.4262
S  0.9457  0.3225  0.9262
S  0.1945  0.1775  0.5738
S  0.5876  0.7728  0.9756
S  0.3360  0.7272  0.5244
S  0.4124  0.2272  0.0244
S  0.6640  0.2728  0.4756
In  0.7270  0.1947  0.8924
In  0.8142  0.3053  0.6076
In  0.2730  0.8053  0.1076
In  0.1858  0.6947  0.3924
Sb  0.7684  0.8924  0.0498
Sb  0.7106  0.6076  0.4502
Sb  0.2316  0.1076  0.9502
Sb  0.2894  0.3924  0.5498

# 6
This record from the Alexandria database describes a crystal of YMg2Ge2 relaxed with PBEsol. The functional is meta-GGA SCAN.

The value obtained for the calculated formation energy is -503 meV/atom. As for the density of states at the Fermi level: 0.44 states/eV per atom. As for the space-group type: I4/mmm.

Lattice parameters (Å, degrees): 4.1811 4.1811 6.5906 108.49 108.49 90.00
Fractional coordinates of all 5 atoms:
Y  0.0000  0.0000  0.0000
Ge  0.3956  0.3956  0.7911
Ge  0.6044  0.6044  0.2089
Mg  0.2500  0.7500  0.5000
Mg  0.7500  0.2500  0.5000

# 7
This record from the Alexandria database describes a crystal of TlAgTe2 relaxed with PBEsol. The functional is meta-GGA SCAN.

The uncorrected formation energy comes out at -30 kJ/mol of formula units. As for the density of states at the Fermi level: 0.61 states/eV per atom. As for the space-group type: R-3m.

Lattice parameters (Å, degrees): 4.2340 4.2340 7.3591 73.28 73.28 60.00
Fractional coordinates of all 4 atoms:
Tl  0.5000  0.5000  0.5000
Te  0.2613  0.2613  0.2161
Te  0.7387  0.7387  0.7839
Ag  0.0000  0.0000  0.0000

# 8
This record from the Alexandria database describes a crystal of SbMoOs2 relaxed with PBEsol. The functional is meta-GGA SCAN.

The uncorrected formation energy comes out at 176 kJ/mol of formula units. As for the density of states at the Fermi level: 0.74 states/eV per atom. As for the space-group type: Pmmm.

Lattice parameters (Å, degrees): 2.9232 3.8553 5.5801 90.00 90.00 90.00
Fractional coordinates of all 4 atoms:
Mo  0.5000  0.5000  0.5000
Os  0.0000  0.0000  0.7371
Os  0.0000  0.0000  0.2629
Sb  0.5000  0.5000  0.0000

# 9
This record from the Alexandria database describes a crystal of MoPtCl2 relaxed with PBEsol. The functional is meta-GGA SCAN.

The uncorrected formation energy comes out at 89 kJ/mol of formula units. The value obtained for the energy above the most stable polymorph in this dataset is 122 meV per atom. As for the density of states at the Fermi level: 0.82 states/eV per atom. As for the space-group type: Imm2.

Lattice parameters (Å, degrees): 2.8243 4.4356 6.3985 110.28 102.75 90.00
Site moments in Bohr magnetons follow the coordinates.
Fractional coordinates of all 4 atoms:
Mo  0.4967  0.4967  0.9934  -1.14
Pt  0.1810  0.6810  0.3620  -0.07
Cl  0.9992  0.9992  0.9984  0.01
Cl  0.8231  0.3231  0.6461  0.00

# 10
This record from the Alexandria database describes a crystal of Zn2HgTe relaxed with PBEsol. The functional is meta-GGA SCAN.

The uncorrected formation energy comes out at 48 kJ/mol of formula units. The value obtained for the energy above the most stable polymorph in this dataset is 0 meV per atom. As for the density of states at the Fermi level: 0.28 states/eV per atom. As for the space-group type: Immm.

Lattice parameters (Å, degrees): 4.1204 5.1680 5.1680 73.45 66.51 66.51
Fractional coordinates of all 4 atoms:
Hg  0.0000  0.5000  0.5000
Te  0.5000  0.0000  0.0000
Zn  0.2633  0.7367  0.7367
Zn  0.7367  0.2633  0.2633

# 11
This record from the Alexandria database describes a crystal of YSiRu relaxed with PBEsol. The functional is meta-GGA SCAN.

The uncorrected formation energy comes out at -261 kJ/mol of formula units. As for the density of states at the Fermi level: 0.79 states/eV per atom. As for the space-group type: Pnma.

Lattice parameters (Å, degrees): 4.2865 6.9270 7.0249 90.00 90.00 90.00
Fractional coordinates of all 12 atoms:
Y  0.2500  0.9859  0.1857
Y  0.7500  0.5141  0.6857
Y  0.2500  0.4859  0.3143
Y  0.7500  0.0141  0.8143
Si  0.7500  0.6953  0.1069
Si  0.7500  0.1953  0.3931
Si  0.2500  0.3047  0.8931
Si  0.2500  0.8047  0.6069
Ru  0.7500  0.3468  0.0667
Ru  0.7500  0.8468  0.4333
Ru  0.2500  0.1532  0.5667
Ru  0.2500  0.6532  0.9333

# 12
This record from the Alexandria database describes a crystal of CaSiSe relaxed with PBEsol. The functional is meta-GGA SCAN.

The uncorrected formation energy comes out at -162 kJ/mol of formula units. As for the density of states at the Fermi level: 0.42 states/eV per atom. As for the space-group type: I4mm.

Lattice parameters (Å, degrees): 3.8764 3.8764 5.6343 110.12 110.12 90.00
Fractional coordinates of all 3 atoms:
Ca  0.0215  0.0215  0.0430
Si  0.3678  0.3678  0.7356
Se  0.6107  0.6107  0.2215

Number 1: total magnetization 0.00 μB/f.u.. Number 2: total magnetization 0.00 μB/f.u.. Number 3: total magnetization 0.00 μB/f.u.. Number 4: total magnetization 11.00 μB/f.u.. Number 5: total magnetization 0.00 μB/f.u.. Number 6: total magnetization 0.00 μB/f.u.. Number 7: total magnetization 0.01 μB/f.u.. Number 8: total magnetization 0.00 μB/f.u.. Number 9: total magnetization 1.30 μB/f.u.. Number 10: total magnetization 0.00 μB/f.u.. Number 11: total magnetization 0.01 μB/f.u.. Number 12: total magnetization 0.00 μB/f.u..